1.
Compound: NaNbGaIr
Source: the Open Quantum Materials Database
Functional: PBE
Structure: relaxed

Computed properties:
Excess energy over the best structure of this formula in the dataset in eV per formula unit: 0.000
Electronic total energy in eV/atom: -5.983

abc: 6.3350 6.3350 6.3350
angles: 90.00 90.00 90.00
With the nearest neighbours (Å) after each atom.
Space group F-43m (No. 216)
One atom of each set of equivalent atoms:
Na1 0.0000 0.0000 0.0000 x4  4 Nb 2.74, 4 Ga 2.74
Nb1 0.2500 0.2500 0.2500 x4  4 Na 2.74, 4 Ir 2.74
Ga1 0.2500 0.2500 0.7500 x4  4 Na 2.74, 4 Ir 2.74
Ir1 0.0000 0.0000 0.5000 x4  4 Nb 2.74, 4 Ga 2.74



2.
Compound: NaNbGaIr
Source: the Open Quantum Materials Database
Functional: PBE
Structure: relaxed

Computed properties:
Excess energy over the best structure of this formula in the dataset in eV per formula unit: 0.757
Electronic total energy in eV/atom: -5.793

abc: 6.4221 6.4221 6.4221
angles: 90.00 90.00 90.00
With the nearest neighbours (Å) after each atom.
Space group F-43m (No. 216)
One atom of each set of equivalent atoms:
Na1 0.0000 0.0000 0.0000 x4  4 Ir 2.78, 4 Ga 2.78
Nb1 0.0000 0.0000 0.5000 x4  4 Ir 2.78, 4 Ga 2.78
Ga1 0.2500 0.2500 0.2500 x4  4 Nb 2.78, 4 Na 2.78
Ir1 0.2500 0.2500 0.7500 x4  4 Nb 2.78, 4 Na 2.78



3.
Compound: Na2Nb2Ga2IrOs
Source: the Open Quantum Materials Database
Functional: PBE
Structure: relaxed

Computed properties:
Electronic total energy in eV/atom: -6.113

abc: 4.4885 4.4885 6.3441
angles: 90.00 90.00 90.00
With the nearest neighbours (Å) after each atom.
Space group P-4m2 (No. 115)
One atom of each set of equivalent atoms:
Na1 0.0000 0.0000 0.0000 x1  4 Ga 2.73, 4 Nb 2.74
Na2 0.5000 0.5000 0.5000 x1  4 Nb 2.76, 4 Ga 2.76
Nb1 0.0000 0.5000 0.2480 x2  4 Na 2.74-2.76, 2 Os 2.74, 2 Ir 2.76
Ga1 0.0000 0.5000 0.7536 x2  4 Na 2.73-2.76, 2 Os 2.73, 2 Ir 2.76
Ir1 0.0000 0.0000 0.5000 x1  4 Nb 2.76, 4 Ga 2.76
Os1 0.5000 0.5000 0.0000 x1  4 Ga 2.73, 4 Nb 2.74



4.
Compound: Na2TaNbGa2Ir2
Source: the Open Quantum Materials Database
Functional: PBE
Structure: relaxed

Computed properties:
Electronic total energy in eV/atom: -6.188

abc: 4.4750 4.4750 6.3296
angles: 90.00 90.00 90.00
With the nearest neighbours (Å) after each atom.
Space group P-4m2 (No. 115)
One atom of each set of equivalent atoms:
Na1 0.0000 0.5000 0.2487 x2  2 Nb 2.74, 4 Ga 2.74-2.75, 2 Ta 2.75
Ta1 0.5000 0.5000 0.5000 x1  4 Ir 2.73, 4 Na 2.75
Nb1 0.0000 0.0000 0.0000 x1  4 Na 2.74, 4 Ir 2.75
Ga1 0.0000 0.0000 0.5000 x1  4 Ir 2.73, 4 Na 2.75
Ga2 0.5000 0.5000 0.0000 x1  4 Na 2.74, 4 Ir 2.75
Ir1 0.0000 0.5000 0.7479 x2  2 Ta 2.73, 4 Ga 2.73-2.75, 2 Nb 2.75



5.
Compound: Na2ZrNbGa2Ir2
Source: the Open Quantum Materials Database
Functional: PBE
Structure: relaxed

Computed properties:
Electronic total energy in eV/atom: -5.851

abc: 4.5376 4.5376 6.4180
angles: 90.00 90.00 90.00
With the nearest neighbours (Å) after each atom.
Space group P-4m2 (No. 115)
One atom of each set of equivalent atoms:
Na1 0.0000 0.5000 0.2465 x2  4 Ga 2.77-2.79, 2 Nb 2.77, 2 Zr 2.79
Zr1 0.5000 0.5000 0.5000 x1  4 Na 2.79, 4 Ir 2.83
Nb1 0.0000 0.0000 0.0000 x1  4 Ir 2.73, 4 Na 2.77
Ga1 0.0000 0.0000 0.5000 x1  4 Na 2.79, 4 Ir 2.83
Ga2 0.5000 0.5000 0.0000 x1  4 Ir 2.73, 4 Na 2.77
Ir1 0.0000 0.5000 0.7627 x2  2 Nb 2.73, 4 Ga 2.73-2.83, 2 Zr 2.83



6.
Compound: Na4Ga2NiIr
Source: the Open Quantum Materials Database
Functional: PBE
Structure: relaxed

Computed properties:
Electronic total energy in eV/atom: -3.076

abc: 4.6315 4.6315 6.5375
angles: 90.00 90.00 90.00
With the nearest neighbours (Å) after each atom.
Space group P-4m2 (No. 115)
One atom of each set of equivalent atoms:
Na1 0.0000 0.0000 0.0000 x1  4 Ga 2.77, 4 Na 2.88
Na2 0.0000 0.5000 0.7375 x2  4 Na 2.79-2.88, 2 Ni 2.79, 2 Ir 2.88
Na3 0.5000 0.5000 0.5000 x1  4 Na 2.79, 4 Ga 2.90
Ga1 0.0000 0.5000 0.2326 x2  2 Ir 2.77, 4 Na 2.77-2.90, 2 Ni 2.90
Ni1 0.0000 0.0000 0.5000 x1  4 Na 2.79, 4 Ga 2.90
Ir1 0.5000 0.5000 0.0000 x1  4 Ga 2.77, 4 Na 2.88



7.
Compound: Na2Zn2Ga2NiIr
Source: the Open Quantum Materials Database
Functional: PBE
Structure: relaxed

Computed properties:
Electronic total energy in eV/atom: -3.238

abc: 4.4365 4.4365 6.1915
angles: 90.00 90.00 90.00
With the nearest neighbours (Å) after each atom.
Space group P-4m2 (No. 115)
One atom of each set of equivalent atoms:
Na1 0.0000 0.0000 0.0000 x1  4 Ga 2.71, 4 Zn 2.73
Na2 0.5000 0.5000 0.5000 x1  4 Zn 2.68, 4 Ga 2.70
Zn1 0.0000 0.5000 0.7431 x2  4 Na 2.68-2.73, 2 Ni 2.68, 2 Ir 2.73
Ga1 0.0000 0.5000 0.2516 x2  4 Na 2.70-2.71, 2 Ni 2.70, 2 Ir 2.71
Ni1 0.0000 0.0000 0.5000 x1  4 Zn 2.68, 4 Ga 2.70
Ir1 0.5000 0.5000 0.0000 x1  4 Ga 2.71, 4 Zn 2.73



8.
Compound: Na2Zr2Ga2IrPd
Source: the Open Quantum Materials Database
Functional: PBE
Structure: relaxed

Computed properties:
Electronic total energy in eV/atom: -5.264

abc: 4.6164 4.6164 6.5196
angles: 90.00 90.00 90.00
With the nearest neighbours (Å) after each atom.
Space group P-4m2 (No. 115)
One atom of each set of equivalent atoms:
Na1 0.0000 0.0000 0.0000 x1  4 Ga 2.85, 4 Zr 2.85
Na2 0.5000 0.5000 0.5000 x1  4 Zr 2.80, 4 Ga 2.80
Zr1 0.0000 0.5000 0.7424 x2  4 Na 2.80-2.85, 2 Ir 2.80, 2 Pd 2.85
Ga1 0.0000 0.5000 0.2560 x2  4 Na 2.80-2.85, 2 Ir 2.80, 2 Pd 2.85
Ir1 0.0000 0.0000 0.5000 x1  4 Zr 2.80, 4 Ga 2.80
Pd1 0.5000 0.5000 0.0000 x1  4 Ga 2.85, 4 Zr 2.85



9.
Compound: Na2GaIrS4
Source: the Open Quantum Materials Database
Functional: PBE
Structure: relaxed

Computed properties:
Electronic total energy in eV/atom: -4.470

abc: 6.7922 6.7922 7.3773
angles: 90.00 90.00 90.00
With the nearest neighbours (Å) after each atom.
Space group I-4 (No. 82)
One atom of each set of equivalent atoms:
Na1 0.0000 0.0000 0.0000 x2  8 S 3.09-3.19
Na2 0.0000 0.5000 0.2500 x2  4 S 2.78
Ga1 0.0000 0.0000 0.5000 x2  4 S 2.31
Ir1 0.0000 0.5000 0.7500 x2  4 S 2.28
S1 0.1772 0.7681 0.6604 x8  1 Ir 2.28, 1 Ga 2.31



10.
Compound: Na2GaIrSe4
Source: the Open Quantum Materials Database
Functional: PBE
Structure: relaxed

Computed properties:
Electronic total energy in eV/atom: -4.072

abc: 7.1609 7.1609 7.7476
angles: 90.00 90.00 90.00
With the nearest neighbours (Å) after each atom.
Space group I-4 (No. 82)
One atom of each set of equivalent atoms:
Na1 0.0000 0.0000 0.0000 x2  8 Se 3.20-3.40
Na2 0.0000 0.5000 0.2500 x2  4 Se 2.92
Ga1 0.0000 0.0000 0.5000 x2  4 Se 2.46
Ir1 0.0000 0.5000 0.7500 x2  4 Se 2.41
Se1 0.1820 0.7643 0.6577 x8  1 Ir 2.41, 1 Ga 2.46



11.
Compound: Na2ZrTaGa2Ir2
Source: the Open Quantum Materials Database
Functional: PBE
Structure: relaxed

Computed properties:
Electronic total energy in eV/atom: -6.057

abc: 4.5327 4.5327 6.4221
angles: 90.00 90.00 90.00
With the nearest neighbours (Å) after each atom.
Space group P-4m2 (No. 115)
One atom of each set of equivalent atoms:
Na1 0.0000 0.5000 0.2492 x2  2 Zr 2.77, 4 Ga 2.77-2.78, 2 Ta 2.78
Zr1 0.0000 0.0000 0.0000 x1  4 Na 2.77, 4 Ir 2.84
Ta1 0.5000 0.5000 0.5000 x1  4 Ir 2.72, 4 Na 2.78
Ga1 0.0000 0.0000 0.5000 x1  4 Ir 2.72, 4 Na 2.78
Ga2 0.5000 0.5000 0.0000 x1  4 Na 2.77, 4 Ir 2.84
Ir1 0.0000 0.5000 0.7336 x2  2 Ta 2.72, 4 Ga 2.72-2.84, 2 Zr 2.84



12.
Compound: NbGaIr
Source: the Open Quantum Materials Database
Functional: PBE
Structure: relaxed

Computed properties:
Electronic total energy in eV/atom: -7.262

abc: 6.1037 6.1037 6.1037
angles: 90.00 90.00 90.00
With the nearest neighbours (Å) after each atom.
Space group F-43m (No. 216)
One atom of each set of equivalent atoms:
Nb1 0.0000 0.0000 0.0000 x4  4 Ir 2.64, 4 Ga 2.64
Ga1 0.2500 0.2500 0.7500 x4  4 Nb 2.64
Ir1 0.2500 0.2500 0.2500 x4  4 Nb 2.64



13.
Compound: NbGa2Ir2
Source: the Open Quantum Materials Database
Functional: PBE
Structure: relaxed

Computed properties:
Electronic total energy in eV/atom: -6.969

abc: 3.6012 3.6012 12.6008
angles: 90.00 90.00 90.00
With the nearest neighbours (Å) after each atom.
Space group I4/mmm (No. 139)
One atom of each set of equivalent atoms:
Nb1 0.0000 0.0000 0.0000 x2  8 Ir 2.85
Ga1 0.0000 0.5000 0.2500 x4  4 Ga 2.55, 4 Ir 2.59
Ir1 0.0000 0.0000 0.3977 x4  1 Ir 2.58, 4 Ga 2.59, 4 Nb 2.85



Calculated values (μB/f.u.) of spin magnetization for the records, taken in order: 0.00 0.00 0.02 0.00 0.14 0.00 0.00 0.49 1.73 0.02 0.03 0.00 0.01.